# 1
Density functional theory data (PBEsol) for crystalline MgCo3 at its relaxed geometry.

For the electronic total energy, the calculation gives -6.0844 eV per atom. The value obtained for the energy of formation is 0.148 eV per atom. The value obtained for the total magnetization is 4.40 μB/cell.

Unit cell a=2.782 b=2.782 c=6.204 alpha=90.00 beta=90.00 gamma=90.00
Space group P4/mmm (No. 123)
Symmetry-distinct sites (fractional):
Mg1 0.000 0.000 0.000 [1 per cell]
Co1 0.000 0.000 0.500 [1 per cell]
Co2 0.500 0.500 0.284 [2 per cell]


# 2
Density functional theory data (PBEsol) for crystalline InAsSe2 at its relaxed geometry.

As for the uncorrected formation energy: -0.81 eV/f.u. For the electronic total energy, the calculation gives -4.1487 eV per atom. The value obtained for the total magnetization is 0.00 μB/cell.

Unit cell a=3.9983 b=3.9983 c=20.2085 alpha=90.00 beta=90.00 gamma=120.00
Space group R-3m (No. 166, hexagonal axes)
Symmetry-distinct sites (fractional):
In1 0.0000 0.0000 0.0000 [3 per cell]
As1 0.0000 0.0000 0.5000 [3 per cell]
Se1 0.0000 0.0000 0.2404 [6 per cell]


# 3
Density functional theory data (PBEsol) for crystalline ScCuMo at its relaxed geometry.

The excess energy over the best structure of this formula in the dataset comes out at 0.1506 eV per atom. For the electronic total energy, the calculation gives -7.1947 eV per atom. The value obtained for the energy of formation is 0.374 eV per atom. The value obtained for the total magnetization is 0.00 μB/cell.

Unit cell a=2.8271 b=2.8271 c=6.8793 alpha=90.00 beta=90.00 gamma=120.00
Space group P3m1 (No. 156)
Symmetry-distinct sites (fractional):
Sc1 0.0000 0.0000 0.0000 [1 per cell]
Cu1 0.3333 0.6667 0.6682 [1 per cell]
Mo1 0.6667 0.3333 0.3560 [1 per cell]


# 4
Density functional theory data (PBEsol) for crystalline HfH2W at its relaxed geometry.

For the electronic total energy, the calculation gives -7.1584 eV per atom. The value obtained for the total magnetization is 0.00 μB/cell.

Unit cell a=5.504 b=5.504 c=5.504 alpha=90.00 beta=90.00 gamma=90.00
Space group Fm-3m (No. 225)
Symmetry-distinct sites (fractional):
Hf1 0.000 0.000 0.000 [4 per cell]
H1 0.250 0.250 0.250 [8 per cell]
W1 0.000 0.000 0.500 [4 per cell]